(1)
The following is a GGA-PBE calculation of W3AuSe5 after structural relaxation, from OQMD.

Summary:
Raw total energy: -6.3790 eV/atom

Lattice parameters (Å, degrees): 5.5972 5.5972 7.4690 90.00 90.00 120.00
Element x y z (fractional)
W1 0.0000 0.5000 0.0000
W2 0.5000 0.0000 0.0000
W3 0.5000 0.5000 0.0000
Au1 0.0000 0.0000 0.5000
Se1 0.0000 0.0000 0.0000
Se2 0.3333 0.6667 0.2710
Se3 0.3333 0.6667 0.7290
Se4 0.6667 0.3333 0.2710
Se5 0.6667 0.3333 0.7290

(2)
The following is a GGA-PBE calculation of LiAg3GeSe4 after structural relaxation, from OQMD.

Summary:
Energy above the most stable polymorph in this dataset: 97.8 meV per atom

Lattice parameters (Å, degrees): 6.1065 6.1065 6.1065 90.00 90.00 90.00
Element x y z (fractional)
Li1 0.0000 0.0000 0.0000
Ag1 0.0000 0.5000 0.5000
Ag2 0.5000 0.0000 0.5000
Ag3 0.5000 0.5000 0.0000
Ge1 0.5000 0.5000 0.5000
Se1 0.2442 0.2442 0.2442
Se2 0.2442 0.7558 0.7558
Se3 0.7558 0.2442 0.7558
Se4 0.7558 0.7558 0.2442

(3)
The following is a GGA-PBE calculation of RbFeP2Os after structural relaxation, from OQMD.

Summary:
Raw total energy: -6.7010 eV/atom

Lattice parameters (Å, degrees): 7.4430 7.4430 7.4430 150.14 150.14 42.73
Element x y z (fractional)
Rb1 0.0000 0.0000 0.0000
Fe1 0.2500 0.7500 0.5000
P1 0.3416 0.3416 0.0000
P2 0.6584 0.6584 0.0000
Os1 0.7500 0.2500 0.5000

(4)
The following is a GGA-PBE calculation of GdSi2Tc2 after structural relaxation, from OQMD.

Summary:
Energy above the most stable polymorph in this dataset: 0.0 meV per atom

Lattice parameters (Å, degrees): 5.9116 5.9116 5.9116 139.43 139.43 58.72
Element x y z (fractional)
Gd1 0.0000 0.0000 0.0000
Si1 0.3792 0.3792 0.0000
Si2 0.6208 0.6208 0.0000
Tc1 0.2500 0.7500 0.5000
Tc2 0.7500 0.2500 0.5000

(5)
The following is a GGA-PBE calculation of PuInHg after structural relaxation, from OQMD.

Summary:
Energy above the most stable polymorph in this dataset: 0.0 meV per atom

Lattice parameters (Å, degrees): 5.0191 5.0191 5.0191 60.00 60.00 60.00
Element x y z (fractional)
Pu1 0.0000 0.0000 0.0000
In1 0.7500 0.7500 0.7500
Hg1 0.5000 0.5000 0.5000

(6)
The following is a GGA-PBE calculation of Tb2SmSi4Au4 after structural relaxation, from OQMD.

Summary:
Raw total energy: -5.1564 eV/atom

Lattice parameters (Å, degrees): 12.9165 12.9165 12.9165 161.41 161.09 26.64
Element x y z (fractional)
Tb1 0.1478 0.1478 0.0000
Tb2 0.8522 0.8522 0.0000
Sm1 0.5000 0.0000 0.5000
Si1 0.0471 0.5471 0.5000
Si2 0.3096 0.3096 0.0000
Si3 0.6904 0.6904 0.0000
Si4 0.9529 0.4529 0.5000
Au1 0.2482 0.7482 0.5000
Au2 0.4053 0.4053 0.0000
Au3 0.5947 0.5947 0.0000
Au4 0.7518 0.2518 0.5000

(7)
The following is a GGA-PBE calculation of Dy4I2Br3N after structural relaxation, from OQMD.

Summary:
Raw total energy: -4.9355 eV/atom

Lattice parameters (Å, degrees): 9.3685 9.3685 8.1306 101.83 101.83 23.40
Element x y z (fractional)
Dy1 0.0010 0.0010 0.3023
Dy2 0.3702 0.3702 0.4325
Dy3 0.6298 0.6298 0.5675
Dy4 0.9990 0.9990 0.6977
I1 0.1710 0.1710 0.3079
I2 0.8290 0.8290 0.6921
Br1 0.1565 0.1565 0.8357
Br2 0.5000 0.5000 0.0000
Br3 0.8435 0.8435 0.1643
N1 0.5000 0.5000 0.5000

(8)
The following is a GGA-PBE calculation of LiGaCu2 after structural relaxation, from OQMD.

Summary:
Raw total energy: -3.2692 eV/atom

Lattice parameters (Å, degrees): 4.1400 4.1400 4.1400 60.00 60.00 60.00
Element x y z (fractional)
Li1 0.0000 0.0000 0.0000
Ga1 0.7500 0.7500 0.7500
Cu1 0.2500 0.2500 0.2500
Cu2 0.5000 0.5000 0.5000

(9)
The following is a GGA-PBE calculation of Na3NbBr6 after structural relaxation, from OQMD.

Summary:
Raw total energy: -3.6278 eV/atom

Lattice parameters (Å, degrees): 7.3007 7.3007 12.9873 90.00 90.00 120.00
Element x y z (fractional)
Na1 0.0000 0.0000 0.2500
Na2 0.0000 0.0000 0.7500
Na3 0.3333 0.6667 0.0378
Na4 0.3333 0.6667 0.4622
Na5 0.6667 0.3333 0.5378
Na6 0.6667 0.3333 0.9622
Nb1 0.3333 0.6667 0.7500
Nb2 0.6667 0.3333 0.2500
Br1 0.0463 0.3641 0.6293
Br2 0.0463 0.6822 0.8707
Br3 0.3178 0.3641 0.8707
Br4 0.3178 0.9537 0.6293
Br5 0.3641 0.0463 0.1293
Br6 0.3641 0.3178 0.3707
Br7 0.6359 0.6822 0.6293
Br8 0.6359 0.9537 0.8707
Br9 0.6822 0.0463 0.3707
Br10 0.6822 0.6359 0.1293
Br11 0.9537 0.3178 0.1293
Br12 0.9537 0.6359 0.3707

(10)
The following is a GGA-PBE calculation of LiCoSiAu after structural relaxation, from OQMD.

Summary:
Energy above the most stable polymorph in this dataset: 0.0 meV per atom

Lattice parameters (Å, degrees): 4.1542 4.1542 4.1542 60.00 60.00 60.00
Element x y z (fractional)
Li1 0.0000 0.0000 0.0000
Co1 0.7500 0.7500 0.7500
Si1 0.5000 0.5000 0.5000
Au1 0.2500 0.2500 0.2500

(11)
The following is a GGA-PBE calculation of AcReAs after structural relaxation, from OQMD.

Summary:
Energy above the most stable polymorph in this dataset: 751.7 meV per atom

Lattice parameters (Å, degrees): 5.0560 5.0560 5.0560 60.00 60.00 60.00
Element x y z (fractional)
Ac1 0.0000 0.0000 0.0000
Re1 0.2500 0.2500 0.2500
As1 0.7500 0.7500 0.7500

(12)
The following is a GGA-PBE calculation of ZrZnPtAu after structural relaxation, from OQMD.

Summary:
Energy above the most stable polymorph in this dataset: 105.9 meV per atom
E_form: -0.527 eV/atom

Lattice parameters (Å, degrees): 4.6175 4.6175 4.6175 60.00 60.00 60.00
Element x y z (fractional)
Zr1 0.0000 0.0000 0.0000
Zn1 0.7500 0.7500 0.7500
Pt1 0.2500 0.2500 0.2500
Au1 0.5000 0.5000 0.5000

(13)
The following is a GGA-PBE calculation of HgTePdO after structural relaxation, from OQMD.

Summary:
Energy above the most stable polymorph in this dataset: 101.3 meV per atom

Lattice parameters (Å, degrees): 6.8621 13.7530 7.0127 90.00 90.00 90.00
Element x y z (fractional)
Hg1 0.0096 0.2331 0.2466
Hg2 0.0096 0.2669 0.7466
Hg3 0.4904 0.7331 0.2466
Hg4 0.4904 0.7669 0.7466
Hg5 0.5096 0.2331 0.2534
Hg6 0.5096 0.2669 0.7534
Hg7 0.9904 0.7331 0.2534
Hg8 0.9904 0.7669 0.7534
Te1 0.9998 0.0159 0.7494
Te2 0.9998 0.4841 0.2494
Te3 0.0002 0.5159 0.7506
Te4 0.0002 0.9841 0.2506
Te5 0.4998 0.0159 0.7506
Te6 0.4998 0.4841 0.2506
Te7 0.5002 0.5159 0.7494
Te8 0.5002 0.9841 0.2494
Pd1 0.2504 0.0804 0.4709
Pd2 0.2504 0.4196 0.9709
Pd3 0.2496 0.5804 0.4709
Pd4 0.2496 0.9196 0.9709
Pd5 0.7504 0.0804 0.0291
Pd6 0.7504 0.4196 0.5291
Pd7 0.7496 0.5804 0.0291
Pd8 0.7496 0.9196 0.5291
O1 0.2384 0.7470 0.5779
O2 0.2384 0.7530 0.0779
O3 0.2616 0.2470 0.5779
O4 0.2616 0.2530 0.0779
O5 0.7384 0.7470 0.9221
O6 0.7384 0.7530 0.4221
O7 0.7616 0.2470 0.9221
O8 0.7616 0.2530 0.4221

(14)
The following is a GGA-PBE calculation of FeCuAsPd after structural relaxation, from OQMD.

Summary:
Energy above the most stable polymorph in this dataset: 0.0 meV per atom

Lattice parameters (Å, degrees): 4.2965 4.2965 4.2965 60.00 60.00 60.00
Element x y z (fractional)
Fe1 0.0000 0.0000 0.0000
Cu1 0.5000 0.5000 0.5000
As1 0.2500 0.2500 0.2500
Pd1 0.7500 0.7500 0.7500

(15)
The following is a GGA-PBE calculation of TaAlCoOs after structural relaxation, from OQMD.

Summary:
Energy above the most stable polymorph in this dataset: 0.0 meV per atom

Lattice parameters (Å, degrees): 4.3226 4.3226 4.3226 60.00 60.00 60.00
Element x y z (fractional)
Ta1 0.0000 0.0000 0.0000
Al1 0.5000 0.5000 0.5000
Co1 0.7500 0.7500 0.7500
Os1 0.2500 0.2500 0.2500

(16)
The following is a GGA-PBE calculation of Y4W2S3N3 after structural relaxation, from OQMD.

Summary:
Raw total energy: -8.5785 eV/atom

Lattice parameters (Å, degrees): 6.0024 6.0024 12.4444 103.04 103.04 60.41
Element x y z (fractional)
Y1 0.0296 0.2055 0.1044
Y2 0.1414 0.2980 0.3958
Y3 0.2055 0.0296 0.6044
Y4 0.2980 0.1414 0.8958
Y5 0.7020 0.8586 0.1042
Y6 0.7945 0.9704 0.3956
Y7 0.8586 0.7020 0.6042
Y8 0.9704 0.7945 0.8956
W1 0.3819 0.5252 0.0901
W2 0.4748 0.6181 0.4099
W3 0.5252 0.3819 0.5901
W4 0.6181 0.4748 0.9099
S1 0.1302 0.8698 0.2500
S2 0.2887 0.4213 0.7483
S3 0.4213 0.2887 0.2483
S4 0.5787 0.7113 0.7517
S5 0.7113 0.5787 0.2517
S6 0.8698 0.1302 0.7500
N1 0.0000 0.5000 0.0000
N2 0.1671 0.6674 0.4998
N3 0.3326 0.8329 0.0001
N4 0.5000 0.0000 0.5000
N5 0.6674 0.1671 0.9998
N6 0.8329 0.3326 0.5002

(17)
The following is a GGA-PBE calculation of ZnFeSiIr after structural relaxation, from OQMD.

Summary:
Energy above the most stable polymorph in this dataset: 373.8 meV per atom

Lattice parameters (Å, degrees): 4.2102 4.2102 4.2102 60.00 60.00 60.00
Element x y z (fractional)
Zn1 0.0000 0.0000 0.0000
Fe1 0.5000 0.5000 0.5000
Si1 0.2500 0.2500 0.2500
Ir1 0.7500 0.7500 0.7500

(18)
The following is a GGA-PBE calculation of Ba2CuAsP after structural relaxation, from OQMD.

Summary:
Raw total energy: -4.2959 eV/atom

Lattice parameters (Å, degrees): 9.2031 9.2031 8.1201 90.00 90.00 153.49
Element x y z (fractional)
Ba1 0.0271 0.9729 0.5000
Ba2 0.2292 0.7708 0.1501
Ba3 0.7708 0.2292 0.6501
Ba4 0.9729 0.0271 0.0000
Cu1 0.3783 0.6217 0.4068
Cu2 0.6217 0.3783 0.9068
As1 0.4124 0.5876 0.6985
As2 0.5876 0.4124 0.1985
P1 0.1474 0.8526 0.7983
P2 0.8526 0.1474 0.2983

(19)
The following is a GGA-PBE calculation of TmBr2 after structural relaxation, from OQMD.

Summary:
Raw total energy: -3.6308 eV/atom

Lattice parameters (Å, degrees): 8.7403 8.7403 8.7403 60.00 60.00 60.00
Element x y z (fractional)
Tm1 0.1250 0.1250 0.1250
Tm2 0.8750 0.8750 0.8750
Br1 0.0000 0.0000 0.0000
Br2 0.0000 0.0000 0.5000
Br3 0.0000 0.5000 0.0000
Br4 0.5000 0.0000 0.0000

(20)
The following is a GGA-PBE calculation of TmBeB after structural relaxation, from OQMD.

Summary:
Energy above the most stable polymorph in this dataset: 0.0 meV per atom

Lattice parameters (Å, degrees): 3.9542 3.9542 3.9542 60.00 60.00 60.00
Element x y z (fractional)
Tm1 0.0000 0.0000 0.0000
Be1 0.5000 0.5000 0.5000
B1 0.7500 0.7500 0.7500